Th2ZrTi: optimized geometry, PBE-GGA.

```
Th2ZrTi
1.0
-2.979 0.430 -1.241
-2.624 -0.824 1.743
-2.210 10.501 4.677
Zr Th Ti
1 2 1
direct
0.500 0.500 0.500
0.083 0.083 0.751
0.917 0.917 0.249
0.000 0.000 0.000
```

* symmetry: R-3m (166)
* ΔE to the lowest computed polymorph: 0.256 eV/atom
* crystal system: trigonal
* raw total energy: -7.387 eV/atom


Dy3Y2ScSe6: optimized geometry, PBE-GGA.

```
Dy3Y2ScSe6
1.0
-0.190 3.193 2.466
3.386 -4.389 5.943
7.036 1.976 -5.323
Dy Y Sc Se
3 2 1 6
direct
0.500 0.500 0.000
0.830 0.165 0.660
0.170 0.835 0.340
0.833 0.667 0.667
0.167 0.333 0.333
0.500 0.000 0.000
0.339 0.920 0.677
0.666 0.584 0.332
0.661 0.080 0.323
0.998 0.240 0.997
0.002 0.760 0.003
0.334 0.416 0.668
```

* symmetry: C2/m (12)
* formation energy (no corrections): -1.72 eV/atom
* crystal system: monoclinic
* raw total energy: -6.219 eV/atom


- raw total energy of number 2 (Dy3Y2ScSe6)?
  -6.219 eV/atom